# Ag4Sb3Se8

A relaxed structure of Ag4Sb3Se8 (GGA-PBE, the Alexandria database).

Results
Crystal system   trigonal
Formation energy from raw total energies   -0.110 eV per atom
E_tot   -3.553 eV per atom
Magnetization   0.0 Bohr magnetons per cell
E above lowest polymorph   0.000 eV per atom

The structure in CIF format:
```
data_Ag4Sb3Se8
_symmetry_space_group_name_H-M 'P 1'
_symmetry_Int_Tables_number 1
_cell_length_a 8.0633
_cell_length_b 8.0633
_cell_length_c 8.3932
_cell_angle_alpha 61.29
_cell_angle_beta 61.29
_cell_angle_gamma 60.00
loop_
_symmetry_equiv_pos_as_xyz
'x,y,z'
loop_
_atom_site_label
_atom_site_type_symbol
_atom_site_fract_x
_atom_site_fract_y
_atom_site_fract_z
Ag1 Ag 0.6335 0.6335 0.0996
Ag2 Ag 0.5000 0.5000 0.5000
Ag3 Ag 0.0000 0.0000 0.0000
Ag4 Ag 0.3665 0.3665 0.9004
Se1 Se 0.7557 0.7557 0.7330
Se2 Se 0.7572 0.7572 0.2545
Se3 Se 0.2310 0.7572 0.2545
Se4 Se 0.2443 0.2443 0.2670
Se5 Se 0.2428 0.7690 0.7455
Se6 Se 0.7690 0.2428 0.7455
Se7 Se 0.7572 0.2310 0.2545
Se8 Se 0.2428 0.2428 0.7455
Sb1 Sb 0.0000 0.5000 0.5000
Sb2 Sb 0.5000 0.0000 0.5000
Sb3 Sb 0.0000 0.0000 0.5000
```